# 1
Below is an optimized crystal structure of MnAg2Te, with properties calculated at the PBE level.

Summary:
- raw formation energy (meV/atom) = 276
- calculated density (g/cm³) = 7.9
- magnetization (μB per formula unit) = 4.15
- total energy (eV per atom) = -4.23
- volume (Å³/cell) = 84

Geometry as extended XYZ:
```
4
Lattice="2.169 -2.176 0.000 2.169 2.176 0.000 0.000 0.000 8.858" Properties=species:S:1:pos:R:3 pbc="T T T"
Mn 0.000 0.000 0.000
Ag 2.169 0.000 1.813
Ag 2.169 0.000 7.045
Te 0.000 0.000 4.429
```

=====

# 2
Below is an optimized crystal structure of Sn2BAuN, with properties calculated at the PBE level.

Summary:
- raw formation energy (meV/atom) = 1204
- calculated density (g/cm³) = 8.0
- magnetization (μB per formula unit) = 0.00
- total energy (eV per atom) = -4.05
- volume (Å³/cell) = 95

Geometry as extended XYZ:
```
5
Lattice="4.790 0.000 0.000 0.000 4.790 0.000 0.000 0.000 4.142" Properties=species:S:1:pos:R:3 pbc="T T T"
Sn 0.000 2.395 0.000
Sn 2.395 0.000 0.000
B 0.000 0.000 0.000
Au 0.000 0.000 2.071
N 2.395 2.395 2.071
```

=====

# 3
Below is an optimized crystal structure of RbCuAsI6, with properties calculated at the PBE level.

Summary:
- raw formation energy (meV/atom) = -399
- calculated density (g/cm³) = 4.3
- magnetization (μB per formula unit) = 0.80
- total energy (eV per atom) = -2.51
- volume (Å³/cell) = 383

Geometry as extended XYZ:
```
9
Lattice="7.284 0.000 0.000 -2.394 6.881 0.000 -0.766 -1.735 7.643" Properties=species:S:1:pos:R:3 pbc="T T T"
Rb 0.000 0.000 0.000
Cu 4.095 0.120 4.560
As 1.154 2.958 3.853
I -0.750 1.105 5.179
I -0.568 3.419 1.810
I 0.339 5.010 5.819
I 2.708 1.078 2.379
I 2.947 1.921 6.164
I 2.959 5.061 3.158
```

=====

# 4
Below is an optimized crystal structure of Pm3YAl2, with properties calculated at the PBE level.

Summary:
- calculated density (g/cm³) = 5.8
- magnetization (μB per formula unit) = 0.00
- total energy (eV per atom) = -4.89
- volume (Å³/cell) = 167

Geometry as extended XYZ:
```
6
Lattice="2.470 -7.614 0.000 2.470 7.614 0.000 0.000 0.000 4.433" Properties=species:S:1:pos:R:3 pbc="T T T"
Pm 0.000 0.000 0.000
Pm 2.470 2.693 0.000
Pm 2.470 -2.693 0.000
Y 2.470 0.000 2.216
Al 2.470 5.279 2.216
Al 2.470 -5.279 2.216
```

=====

# 5
Below is an optimized crystal structure of BeNbBRh2, with properties calculated at the PBE level.

Summary:
- calculated density (g/cm³) = 8.2
- magnetization (μB per formula unit) = 0.00
- total energy (eV per atom) = -6.65
- volume (Å³/cell) = 64

Geometry as extended XYZ:
```
5
Lattice="4.119 0.000 0.000 0.000 4.119 0.000 0.000 0.000 3.802" Properties=species:S:1:pos:R:3 pbc="T T T"
Be 0.000 0.000 0.000
Nb 2.059 2.059 1.901
B 0.000 0.000 1.901
Rh 0.000 2.059 0.000
Rh 2.059 0.000 0.000
```

=====

# 6
Below is an optimized crystal structure of Cs2PAu2, with properties calculated at the PBE level.

Summary:
- calculated density (g/cm³) = 6.1
- magnetization (μB per formula unit) = 0.92
- total energy (eV per atom) = -2.91
- volume (Å³/cell) = 189

Geometry as extended XYZ:
```
5
Lattice="-3.569 3.569 3.700 3.569 -3.569 3.700 3.569 3.569 -3.700" Properties=species:S:1:pos:R:3 pbc="T T T"
Cs 3.569 0.000 1.850
Cs 0.000 3.569 1.850
P 0.000 0.000 0.000
Au 0.000 0.000 2.377
Au 0.000 0.000 5.022
```

=====

# 7
Below is an optimized crystal structure of LuTlAgSn, with properties calculated at the PBE level.

Summary:
- calculated density (g/cm³) = 10.4
- magnetization (μB per formula unit) = 0.00
- total energy (eV per atom) = -3.57
- volume (Å³/cell) = 97

Geometry as extended XYZ:
```
4
Lattice="0.000 3.641 3.641 3.641 0.000 3.641 3.641 3.641 0.000" Properties=species:S:1:pos:R:3 pbc="T T T"
Lu 0.000 0.000 0.000
Tl 5.461 5.461 5.461
Ag 3.641 3.641 3.641
Sn 1.820 1.820 1.820
```

=====

# 8
Below is an optimized crystal structure of Ba2LaTe, with properties calculated at the PBE level.

Summary:
- raw formation energy (meV/atom) = -616
- calculated density (g/cm³) = 5.2
- magnetization (μB per formula unit) = 0.02
- total energy (eV per atom) = -3.59
- volume (Å³/cell) = 173

Geometry as extended XYZ:
```
4
Lattice="5.489 0.000 0.000 0.000 2.301 6.867 0.000 -2.301 6.867" Properties=species:S:1:pos:R:3 pbc="T T T"
Ba 0.000 0.000 0.000
Ba 2.745 0.000 4.144
La 2.745 0.000 8.174
Te 0.000 0.000 9.863
```